Record 1
Material: LiTaTlCu
Method: DFT, GGA-PBE
State: optimized geometry

Properties
The symmetry is F-43m, No. 216. The value obtained for the total energy is -0.15765 hartree per atom. The calculated volume comes out at 272.7 Å³ per cell. Its crystal system is cubic.

The structure in POSCAR format:
```
LiTaTlCu
1.0
6.4848 0.0000 0.0000
0.0000 6.4848 0.0000
0.0000 0.0000 6.4848
Li Ta Tl Cu
4 4 4 4
Cartesian
0.0000 0.0000 0.0000
0.0000 3.2424 3.2424
3.2424 0.0000 3.2424
3.2424 3.2424 0.0000
1.6212 1.6212 1.6212
1.6212 4.8636 4.8636
4.8636 1.6212 4.8636
4.8636 4.8636 1.6212
0.0000 0.0000 3.2424
0.0000 3.2424 0.0000
3.2424 0.0000 0.0000
3.2424 3.2424 3.2424
1.6212 1.6212 4.8636
1.6212 4.8636 1.6212
4.8636 1.6212 1.6212
4.8636 4.8636 4.8636
```

=====

Record 2
Material: LaPdPb
Method: DFT, GGA-PBE
State: optimized geometry

Properties
The symmetry is P-62m, No. 189. The value obtained for the total energy is -0.19135 hartree per atom. The calculated volume comes out at 231.8 Å³ per cell. Its crystal system is hexagonal.

The structure in POSCAR format:
```
LaPdPb
1.0
7.5640 0.0000 0.0000
-3.7820 6.5506 0.0000
0.0000 0.0000 4.6780
La Pd Pb
3 3 3
Cartesian
-2.1735 3.7646 0.0000
1.6085 2.7860 0.0000
4.3470 0.0000 0.0000
-0.8992 1.5575 2.3390
1.7985 0.0000 2.3390
2.8828 4.9931 2.3390
0.0000 0.0000 0.0000
0.0000 4.3671 2.3390
3.7820 2.1835 2.3390
```

=====

Record 3
Material: DyTmSi2Os
Method: DFT, GGA-PBE
State: optimized geometry

Properties
The symmetry is C2/m, No. 12. The value obtained for the total energy is -0.25827 hartree per atom. The calculated volume comes out at 194.7 Å³ per cell. Its crystal system is monoclinic.

The structure in POSCAR format:
```
DyTmSi2Os
1.0
5.3152 -2.1072 0.0000
5.3152 2.1072 0.0000
-4.8036 0.0000 8.6927
Dy Tm Si Os
2 2 4 2
Cartesian
-0.7652 0.0000 1.5649
6.5921 0.0000 7.1278
-0.9761 0.0000 5.3075
6.8029 0.0000 3.3853
-0.7263 0.0000 8.1621
2.2826 0.0000 5.4200
3.5443 0.0000 3.2728
6.5532 0.0000 0.5306
2.2572 0.0000 1.1142
3.5696 0.0000 7.5785
```

=====

Record 4
Material: Hf2Al2CuPd3
Method: DFT, GGA-PBE
State: optimized geometry

Properties
The symmetry is P3m1, No. 156. The value obtained for the total energy is -0.23993 hartree per atom. The calculated volume comes out at 133.9 Å³ per cell. Its crystal system is trigonal.

The structure in POSCAR format:
```
Hf2Al2CuPd3
1.0
4.2920 0.0000 0.0000
-2.1460 3.7170 0.0000
0.0000 0.0000 8.3952
Hf Al Cu Pd
2 2 1 3
Cartesian
0.0000 0.0000 0.0000
0.0000 2.4780 4.1974
2.1460 1.2390 2.0774
2.1460 1.2390 6.2939
0.0000 2.4780 6.9985
0.0000 0.0000 2.8142
0.0000 0.0000 5.6341
0.0000 2.4780 1.2936
```

=====

Record 5
Material: IrCl3
Method: DFT, GGA-PBE
State: optimized geometry

Properties
The symmetry is R-3c, No. 167. The value obtained for the total energy is -0.14534 hartree per atom. The calculated volume comes out at 158.8 Å³ per cell. Its crystal system is trigonal.

The structure in POSCAR format:
```
IrCl3
1.0
2.9146 1.6827 5.3958
-2.9146 1.6827 5.3958
0.0000 -3.3655 5.3958
Ir Cl
2 6
Cartesian
0.0000 0.0000 0.0000
0.0000 0.0000 8.0937
-1.9557 -0.0219 6.7448
-0.9589 -1.7047 9.4427
0.9969 -1.6827 6.7448
-0.9969 1.6827 9.4427
0.9589 1.7047 6.7448
1.9557 0.0219 9.4427
```

=====

Record 6
Material: Pu2SnAu3
Method: DFT, GGA-PBE
State: optimized geometry

Properties
The symmetry is Pmm2, No. 25. The value obtained for the total energy is -0.27786 hartree per atom. The calculated volume comes out at 134.9 Å³ per cell. Its crystal system is orthorhombic.

The structure in POSCAR format:
```
Pu2SnAu3
1.0
3.2179 0.0000 0.0000
0.0000 4.8703 0.0000
0.0000 0.0000 8.6058
Pu Sn Au
2 1 3
Cartesian
0.0000 0.0000 0.0000
0.0000 2.4351 4.0386
1.6090 2.4351 6.9839
1.6090 0.0000 2.7614
1.6090 0.0000 5.5940
1.6090 2.4351 1.2711
```

=====

Record 7
Material: Zn2As
Method: DFT, GGA-PBE
State: optimized geometry

Properties
The symmetry is Fd-3m, No. 227. The value obtained for the total energy is -0.07315 hartree per atom. The calculated volume comes out at 367.5 Å³ per cell. Its crystal system is cubic.

The structure in POSCAR format:
```
Zn2As
1.0
0.0000 5.6852 5.6852
5.6852 0.0000 5.6852
5.6852 5.6852 0.0000
Zn As
4 2
Cartesian
0.0000 0.0000 0.0000
2.8426 2.8426 0.0000
2.8426 0.0000 2.8426
0.0000 2.8426 2.8426
1.4213 1.4213 1.4213
9.9491 9.9491 9.9491
```

=====

Record 8
Material: YErCd2Au4
Method: DFT, GGA-PBE
State: optimized geometry

Properties
The symmetry is P4/mmm, No. 123. The value obtained for the total energy is -0.14389 hartree per atom. The calculated volume comes out at 168.5 Å³ per cell. Its energy of formation from the pure elements is -0.680 eV per atom. Its crystal system is tetragonal.

The structure in POSCAR format:
```
YErCd2Au4
1.0
4.9184 0.0000 0.0000
0.0000 4.9184 0.0000
0.0000 0.0000 6.9653
Y Er Cd Au
1 1 2 4
Cartesian
0.0000 0.0000 0.0000
2.4592 2.4592 3.4826
0.0000 0.0000 3.4826
2.4592 2.4592 0.0000
0.0000 2.4592 1.7704
0.0000 2.4592 5.1949
2.4592 0.0000 1.7704
2.4592 0.0000 5.1949
```

=====

Record 9
Material: PrSmTlFe2
Method: DFT, GGA-PBE
State: optimized geometry

Properties
The symmetry is Amm2, No. 38. The value obtained for the total energy is -0.21177 hartree per atom. The calculated volume comes out at 226.4 Å³ per cell. Its crystal system is orthorhombic.

The structure in POSCAR format:
```
PrSmTlFe2
1.0
3.9908 0.0000 0.0000
0.0000 3.9185 0.0000
0.0000 0.0000 14.4806
Pr Sm Tl Fe
2 2 2 4
Cartesian
0.0000 0.0000 0.0000
0.0000 1.9592 7.2403
0.0000 0.0000 10.5143
0.0000 1.9592 3.2740
1.9954 0.0000 5.2298
1.9954 1.9592 12.4701
1.9954 0.0000 2.2947
1.9954 0.0000 8.3048
1.9954 1.9592 1.0645
1.9954 1.9592 9.5350
```

=====

Record 10
Material: LuIrNO
Method: DFT, GGA-PBE
State: optimized geometry

Properties
The symmetry is Pmc2_1, No. 26. The value obtained for the total energy is -0.28367 hartree per atom. The calculated volume comes out at 117.3 Å³ per cell. Its crystal system is orthorhombic.

The structure in POSCAR format:
```
LuIrNO
1.0
3.7564 0.0000 0.0000
0.0000 6.1588 0.0000
0.0000 0.0000 5.0707
Lu Ir N O
2 2 2 2
Cartesian
0.0000 1.2155 0.0000
0.0000 4.9432 2.5354
1.8782 2.5448 2.3202
1.8782 3.6140 4.8555
1.8782 1.8529 4.1117
1.8782 4.3058 1.5764
0.0000 0.8286 2.0503
0.0000 5.3302 4.5857
```

=====

Record 11
Material: PaReOs
Method: DFT, GGA-PBE
State: optimized geometry

Properties
The symmetry is F-43m, No. 216. The value obtained for the total energy is -0.37569 hartree per atom. The calculated volume comes out at 250.1 Å³ per cell. Its energy of formation from the pure elements is 0.825 eV per atom. Its crystal system is cubic.

The structure in POSCAR format:
```
PaReOs
1.0
6.3008 0.0000 0.0000
0.0000 6.3008 0.0000
0.0000 0.0000 6.3008
Pa Re Os
4 4 4
Cartesian
0.0000 0.0000 0.0000
0.0000 3.1504 3.1504
3.1504 0.0000 3.1504
3.1504 3.1504 0.0000
1.5752 1.5752 1.5752
1.5752 4.7256 4.7256
4.7256 1.5752 4.7256
4.7256 4.7256 1.5752
1.5752 1.5752 4.7256
1.5752 4.7256 1.5752
4.7256 1.5752 1.5752
4.7256 4.7256 4.7256
```

=====

Record 12
Material: ZnO
Method: DFT, GGA-PBE
State: optimized geometry

Properties
The symmetry is P4_2/m, No. 84. The value obtained for the total energy is -0.15440 hartree per atom. The calculated volume comes out at 180.2 Å³ per cell. Its crystal system is tetragonal.

The structure in POSCAR format:
```
ZnO
1.0
5.6368 0.0000 0.0000
0.0000 5.6368 0.0000
0.0000 0.0000 5.6701
Zn O
8 8
Cartesian
0.0000 0.0000 1.4175
0.0000 0.0000 4.2526
0.0000 2.8184 0.0000
1.3686 3.0637 2.8350
2.5732 1.3686 0.0000
2.8184 0.0000 2.8350
3.0637 4.2682 0.0000
4.2682 2.5732 2.8350
1.0691 1.7321 1.3603
1.0691 1.7321 4.3098
1.7321 4.5678 1.4747
1.7321 4.5678 4.1953
3.9048 1.0691 1.4747
3.9048 1.0691 4.1953
4.5678 3.9048 1.3603
4.5678 3.9048 4.3098
```

=====

Which of these has the highest calculated volume? Zn2As